# LaTaCd2 | the Alexandria database | GGA-PBE | relaxed
data_LaTaCd2
_cell_length_a 6.155
_cell_length_b 9.443
_cell_length_c 3.155
_cell_angle_alpha 90.00
_cell_angle_beta 90.00
_cell_angle_gamma 90.00
_symmetry_space_group_name_H-M 'C m m m'
_symmetry_Int_Tables_number 65
_symmetry_space_group_name_Hall '-C 2 2'
loop_
_atom_site_label
_atom_site_type_symbol
_atom_site_fract_x
_atom_site_fract_y
_atom_site_fract_z
_atom_site_occupancy
La1 La 0.000 0.000 0.000 1
Ta1 Ta 0.000 0.500 0.000 1
Cd1 Cd 0.250 0.250 0.500 1
# uncorrected energy: -4.39 eV per atom


# LaTa2Cd | the Alexandria database | GGA-PBE | relaxed
data_LaTa2Cd
_cell_length_a 6.202
_cell_length_b 9.872
_cell_length_c 2.890
_cell_angle_alpha 90.00
_cell_angle_beta 90.00
_cell_angle_gamma 90.00
_symmetry_space_group_name_H-M 'C m m m'
_symmetry_Int_Tables_number 65
_symmetry_space_group_name_Hall '-C 2 2'
loop_
_atom_site_label
_atom_site_type_symbol
_atom_site_fract_x
_atom_site_fract_y
_atom_site_fract_z
_atom_site_occupancy
La1 La 0.000 0.000 0.000 1
Ta1 Ta 0.250 0.250 0.500 1
Cd1 Cd 0.000 0.500 0.000 1
# uncorrected energy: -6.75 eV per atom


# LaTaCd2 | the Alexandria database | GGA-PBE | relaxed
data_LaTaCd2
_cell_length_a 3.1074
_cell_length_b 3.1074
_cell_length_c 33.1695
_cell_angle_alpha 90.00
_cell_angle_beta 90.00
_cell_angle_gamma 120.00
_symmetry_space_group_name_H-M 'R -3 m'
_symmetry_Int_Tables_number 166
_symmetry_space_group_name_Hall '-R 3 2"'
loop_
_atom_site_label
_atom_site_type_symbol
_atom_site_fract_x
_atom_site_fract_y
_atom_site_fract_z
_atom_site_occupancy
La1 La 0.0000 0.0000 0.0000 1
Ta1 Ta 0.0000 0.0000 0.5000 1
Cd1 Cd 0.0000 0.0000 0.2426 1
# uncorrected energy: -4.37 eV per atom


# LaTaCd | the Alexandria database | GGA-PBE | relaxed
data_LaTaCd
_cell_length_a 3.250
_cell_length_b 4.012
_cell_length_c 11.519
_cell_angle_alpha 90.00
_cell_angle_beta 90.00
_cell_angle_gamma 90.00
_symmetry_space_group_name_H-M 'I m m 2'
_symmetry_Int_Tables_number 44
_symmetry_space_group_name_Hall 'I 2 -2'
loop_
_atom_site_label
_atom_site_type_symbol
_atom_site_fract_x
_atom_site_fract_y
_atom_site_fract_z
_atom_site_occupancy
La1 La 0.000 0.000 0.000 1
Ta1 Ta 0.000 0.000 0.318 1
Cd1 Cd 0.000 0.000 0.698 1
# uncorrected energy: -5.49 eV per atom


# LaTa2Cd | the Alexandria database | GGA-PBE | relaxed
data_LaTa2Cd
_cell_length_a 3.189
_cell_length_b 4.130
_cell_length_c 6.969
_cell_angle_alpha 90.00
_cell_angle_beta 90.00
_cell_angle_gamma 90.00
_symmetry_space_group_name_H-M 'P m m m'
_symmetry_Int_Tables_number 47
_symmetry_space_group_name_Hall '-P 2 2'
loop_
_atom_site_label
_atom_site_type_symbol
_atom_site_fract_x
_atom_site_fract_y
_atom_site_fract_z
_atom_site_occupancy
La1 La 0.000 0.000 0.000 1
Ta1 Ta 0.500 0.500 0.304 1
Cd1 Cd 0.000 0.000 0.500 1
# uncorrected energy: -6.78 eV per atom


# LaTaCd | the Alexandria database | GGA-PBE | relaxed
data_LaTaCd
_cell_length_a 3.079
_cell_length_b 3.079
_cell_length_c 15.000
_cell_angle_alpha 90.00
_cell_angle_beta 90.00
_cell_angle_gamma 90.00
_symmetry_space_group_name_H-M 'I 4 m m'
_symmetry_Int_Tables_number 107
_symmetry_space_group_name_Hall 'I 4 -2'
loop_
_atom_site_label
_atom_site_type_symbol
_atom_site_fract_x
_atom_site_fract_y
_atom_site_fract_z
_atom_site_occupancy
La1 La 0.000 0.000 0.000 1
Ta1 Ta 0.000 0.000 0.667 1
Cd1 Cd 0.000 0.000 0.313 1
# uncorrected energy: -5.62 eV per atom